Entry 1:
Material: YTl2Cl
Method: DFT, PBE-GGA
State: relaxed

Formation energy (no corrections) ... -0.44 eV/atom
Polymorph energy (0 for the lowest one) ... 7.01 kcal/mol of atoms
E_tot ... -3.70 eV per atom
V ... 26.0 A^3/atom

Cell: 5.2608 5.2608 7.5226 Å, 90.00 90.00 90.00°
Space group I-4m2 (No. 119)
Inequivalent atoms, fractional coordinates:
Y (0.0000, 0.0000, 0.0000) [2 per cell]
Tl (0.0000, 0.0000, 0.5000) [2 per cell]
Tl (0.0000, 0.5000, 0.2500) [2 per cell]
Cl (0.0000, 0.5000, 0.7500) [2 per cell]

---

Entry 2:
Material: SrLi2InGa
Method: DFT, PBE-GGA
State: relaxed

E_tot ... -2.38 eV per atom
V ... 26.6 A^3/atom

Cell: 5.0328 5.0328 5.2447 Å, 90.00 90.00 90.00°
Space group P4/mmm (No. 123)
Inequivalent atoms, fractional coordinates:
Sr (0.0000, 0.0000, 0.0000) [1 per cell]
Li (0.0000, 0.5000, 0.5000) [2 per cell]
In (0.5000, 0.5000, 0.0000) [1 per cell]
Ga (0.5000, 0.5000, 0.5000) [1 per cell]